## Li2SmCoO4 (GGA+U)

Data for an optimized crystal structure of Li2SmCoO4.

a b c (Å): 5.2677 5.2677 6.4688
angles (deg): 90.00 90.00 90.00
Atoms (fractional coordinates):
Li  0.0000  0.5000  0.2500
Li  0.0000  0.5000  0.7500
Li  0.5000  0.0000  0.2500
Li  0.5000  0.0000  0.7500
Sm  0.0000  0.0000  0.0000
Sm  0.5000  0.5000  0.5000
Co  0.0000  0.0000  0.5000
Co  0.5000  0.5000  0.0000
O  0.2150  0.2150  0.6521
O  0.2150  0.7850  0.3479
O  0.2850  0.2850  0.1521
O  0.2850  0.7150  0.8479
O  0.7150  0.2850  0.8479
O  0.7150  0.7150  0.1521
O  0.7850  0.2150  0.3479
O  0.7850  0.7850  0.6521

Computed properties:
* space group: I-42m, No. 121
* E: -6.260 eV/atom

=====

## Li2Co3SnO8 (GGA+U)

Data for an optimized crystal structure of Li2Co3SnO8.

a b c (Å): 8.2816 8.2816 8.2816
angles (deg): 90.13 90.13 90.13
Atoms (fractional coordinates):
Li  0.1273  0.6266  0.6247
Li  0.1277  0.1277  0.1277
Li  0.3734  0.8727  0.3753
Li  0.3753  0.3734  0.8727
Li  0.6247  0.1273  0.6266
Li  0.6266  0.6247  0.1273
Li  0.8723  0.8723  0.8723
Li  0.8727  0.3753  0.3734
Co  0.0000  0.7404  0.2596
Co  0.0117  0.9883  0.5000
Co  0.2397  0.4892  0.2487
Co  0.2487  0.2397  0.4892
Co  0.2596  0.0000  0.7404
Co  0.4892  0.2487  0.2397
Co  0.5000  0.0117  0.9883
Co  0.5108  0.7603  0.7513
Co  0.7404  0.2596  0.0000
Co  0.7513  0.5108  0.7603
Co  0.7603  0.7513  0.5108
Co  0.9883  0.5000  0.0117
Sn  0.0000  0.2490  0.7510
Sn  0.2490  0.7510  0.0000
Sn  0.5000  0.5000  0.5000
Sn  0.7510  0.0000  0.2490
O  0.0031  0.9749  0.2671
O  0.0074  0.5100  0.2367
O  0.0142  0.2208  0.4982
O  0.0251  0.9969  0.7329
O  0.2208  0.4982  0.0142
O  0.2333  0.7229  0.2499
O  0.2367  0.0074  0.5100
O  0.2474  0.4733  0.4819
O  0.2499  0.2333  0.7229
O  0.2630  0.2630  0.2630
O  0.2671  0.0031  0.9749
O  0.2771  0.7667  0.7501
O  0.4733  0.4819  0.2474
O  0.4819  0.2474  0.4733
O  0.4900  0.9926  0.7633
O  0.4982  0.0142  0.2208
O  0.5018  0.7792  0.9858
O  0.5100  0.2367  0.0074
O  0.5181  0.5267  0.7526
O  0.5267  0.7526  0.5181
O  0.7229  0.2499  0.2333
O  0.7329  0.0251  0.9969
O  0.7370  0.7370  0.7370
O  0.7501  0.2771  0.7667
O  0.7526  0.5181  0.5267
O  0.7633  0.4900  0.9926
O  0.7667  0.7501  0.2771
O  0.7792  0.9858  0.5018
O  0.9749  0.2671  0.0031
O  0.9858  0.5018  0.7792
O  0.9926  0.7633  0.4900
O  0.9969  0.7329  0.0251

Computed properties:
* E above lowest polymorph: 0.0 meV per atom
* space group: R32, No. 155

=====

## LiCoSnO4 (GGA+U)

Data for an optimized crystal structure of LiCoSnO4.

a b c (Å): 6.1605 6.1605 10.7836
angles (deg): 106.34 106.34 57.95
Atoms (fractional coordinates):
Li  0.0563  0.5659  0.6887
Li  0.4341  0.9437  0.8113
Li  0.5659  0.0563  0.1887
Li  0.9437  0.4341  0.3113
Co  0.0000  0.0000  0.0000
Co  0.0000  0.0000  0.5000
Co  0.5000  0.5000  0.0000
Co  0.5000  0.5000  0.5000
Sn  0.0000  0.5000  0.0000
Sn  0.2561  0.7439  0.2500
Sn  0.5000  0.0000  0.5000
Sn  0.7439  0.2561  0.7500
O  0.0989  0.1384  0.8778
O  0.1208  0.6497  0.8965
O  0.1384  0.0989  0.3778
O  0.1617  0.6309  0.3849
O  0.3503  0.8792  0.6035
O  0.3654  0.3913  0.1179
O  0.3691  0.8383  0.1151
O  0.3913  0.3654  0.6179
O  0.6087  0.6346  0.3821
O  0.6309  0.1617  0.8849
O  0.6346  0.6087  0.8821
O  0.6497  0.1208  0.3965
O  0.8383  0.3691  0.6151
O  0.8616  0.9011  0.6222
O  0.8792  0.3503  0.1035
O  0.9011  0.8616  0.1222

Computed properties:
* E above lowest polymorph: 2.4 meV per atom
* space group: C2/c, No. 15

=====

## Li2Co2SnO6 (GGA+U)

Data for an optimized crystal structure of Li2Co2SnO6.

a b c (Å): 5.1814 5.1814 10.2032
angles (deg): 90.00 90.00 62.87
Atoms (fractional coordinates):
Li  0.1257  0.3743  0.2500
Li  0.3743  0.1257  0.7500
Li  0.6257  0.8743  0.2500
Li  0.8743  0.6257  0.7500
Co  0.1634  0.1634  0.0000
Co  0.3366  0.3366  0.5000
Co  0.6634  0.6634  0.5000
Co  0.8366  0.8366  0.0000
Sn  0.0000  0.0000  0.5000
Sn  0.5000  0.5000  0.0000
O  0.0426  0.3205  0.6094
O  0.1510  0.8490  0.0945
O  0.1795  0.4574  0.8906
O  0.3205  0.0426  0.3906
O  0.3490  0.6510  0.5945
O  0.4574  0.1795  0.1094
O  0.5426  0.8205  0.8906
O  0.6510  0.3490  0.4055
O  0.6795  0.9574  0.6094
O  0.8205  0.5426  0.1094
O  0.8490  0.1510  0.9055
O  0.9574  0.6795  0.3906

Computed properties:
* space group: Cmce, No. 64
* E: -5.747 eV/atom

=====

## Li2Co3SnO8 (GGA+U)

Data for an optimized crystal structure of Li2Co3SnO8.

a b c (Å): 5.7744 5.7744 9.5168
angles (deg): 90.02 90.02 119.95
Atoms (fractional coordinates):
Li  0.0009  0.9991  0.5000
Li  0.3258  0.6630  0.6007
Li  0.6630  0.3258  0.1007
Li  0.9991  0.0009  0.0000
Co  0.1680  0.3350  0.2815
Co  0.1678  0.8274  0.2802
Co  0.3350  0.1680  0.7815
Co  0.6599  0.8274  0.2804
Co  0.8274  0.1678  0.7802
Co  0.8274  0.6599  0.7804
Sn  0.3380  0.6702  0.0032
Sn  0.6702  0.3380  0.5032
O  0.0307  0.5102  0.1647
O  0.1583  0.8448  0.8899
O  0.1587  0.3142  0.8905
O  0.3142  0.1587  0.3905
O  0.3316  0.6628  0.3825
O  0.4800  0.5093  0.1663
O  0.4816  0.9642  0.1635
O  0.5093  0.4800  0.6663
O  0.5102  0.0307  0.6647
O  0.6628  0.3316  0.8825
O  0.6862  0.8424  0.8934
O  0.8424  0.6862  0.3934
O  0.8448  0.1583  0.3899
O  0.9642  0.4816  0.6635
O  0.9985  0.9995  0.6877
O  0.9995  0.9985  0.1877

Computed properties:
* E above lowest polymorph: 8.7 meV per atom
* space group: Cc, No. 9

=====

## LiCoSnO4 (GGA+U)

Data for an optimized crystal structure of LiCoSnO4.

a b c (Å): 6.0757 6.0757 8.6254
angles (deg): 90.00 90.00 90.00
Atoms (fractional coordinates):
Li  0.0000  0.2174  0.0000
Li  0.0000  0.7826  0.5000
Li  0.2174  0.0000  0.2500
Li  0.7826  0.0000  0.7500
Co  0.2453  0.2453  0.6250
Co  0.2453  0.7547  0.8750
Co  0.7547  0.2453  0.3750
Co  0.7547  0.7547  0.1250
Sn  0.2313  0.5000  0.2500
Sn  0.5000  0.2313  0.0000
Sn  0.5000  0.7687  0.5000
Sn  0.7687  0.5000  0.7500
O  0.0040  0.2563  0.7495
O  0.0040  0.7437  0.7505
O  0.2563  0.0040  0.5005
O  0.2563  0.9960  0.9995
O  0.2572  0.4831  0.0077
O  0.2572  0.5169  0.4923
O  0.4831  0.2572  0.2423
O  0.4831  0.7428  0.2577
O  0.5169  0.2572  0.7577
O  0.5169  0.7428  0.7423
O  0.7428  0.4831  0.9923
O  0.7428  0.5169  0.5077
O  0.7437  0.0040  0.4995
O  0.7437  0.9960  0.0005
O  0.9960  0.2563  0.2505
O  0.9960  0.7437  0.2495

Computed properties:
* E above lowest polymorph: 23.5 meV per atom
* space group: P4_322, No. 95